#A
Material: RbSnRh3
Method: DFT, GGA-PBE
State: optimized geometry

## Properties
Calculated density = 6.690 Mg/m³
D(E_F) = 6.16 states/eV/f.u.
Crystal system = cubic

The structure in CIF format:
```
data_RbSnRh3
_cell_length_a 5.030
_cell_length_b 5.030
_cell_length_c 5.030
_cell_angle_alpha 90.00
_cell_angle_beta 90.00
_cell_angle_gamma 90.00
_symmetry_space_group_name_H-M 'P 1'
_symmetry_Int_Tables_number 1
loop_
_symmetry_equiv_pos_as_xyz
'x,y,z'
loop_
_atom_site_label
_atom_site_type_symbol
_atom_site_fract_x
_atom_site_fract_y
_atom_site_fract_z
_atom_site_occupancy
Rb1 Rb 0.000 0.000 0.000 1
Sn1 Sn 0.500 0.500 0.500 1
Rh1 Rh 0.000 0.500 0.500 1
Rh2 Rh 0.500 0.000 0.500 1
Rh3 Rh 0.500 0.500 0.000 1
```


#B
Material: RbSnRh3
Method: DFT, GGA-PBE
State: optimized geometry

## Properties
Calculated density = 7.270 Mg/m³
D(E_F) = 6.24 states/eV/f.u.
Crystal system = cubic

The structure in CIF format:
```
data_RbSnRh3
_cell_length_a 4.893
_cell_length_b 4.893
_cell_length_c 4.893
_cell_angle_alpha 90.00
_cell_angle_beta 90.00
_cell_angle_gamma 90.00
_symmetry_space_group_name_H-M 'P 1'
_symmetry_Int_Tables_number 1
loop_
_symmetry_equiv_pos_as_xyz
'x,y,z'
loop_
_atom_site_label
_atom_site_type_symbol
_atom_site_fract_x
_atom_site_fract_y
_atom_site_fract_z
_atom_site_occupancy
Rb1 Rb 0.000 0.000 0.000 1
Sn1 Sn 0.500 0.500 0.500 1
Rh1 Rh 0.000 0.000 0.500 1
Rh2 Rh 0.000 0.500 0.000 1
Rh3 Rh 0.500 0.000 0.000 1
```


Result of the stability comparison: #B is the least stable of them.